Computed, not measured: V2ReRh2 after structural relaxation at the PBE level of DFT.

Properties
Total energy = -45.8 eV/f.u.
Energy of formation = -0.077 eV per atom
Magnetic moment = 0.000 μB/atom
Symmetry = P4/mbm

The structure in POSCAR format:
```
V2ReRh2
1.0
-4.1420 5.5806 -2.0349
-2.6084 0.5199 6.7354
2.0074 1.7249 0.6443
Re Rh V
2 4 4
direct
0.0000 0.0000 0.0000
0.5000 0.5000 0.0000
0.3692 0.8692 0.0000
0.8692 0.6308 0.0000
0.6308 0.1308 0.0000
0.1308 0.3692 0.0000
0.1678 0.6678 0.5000
0.6678 0.8322 0.5000
0.8322 0.3322 0.5000
0.3322 0.1678 0.5000
```

Computed, not measured: AcGeBRh6 after structural relaxation at the PBE level of DFT.

Properties
Total energy = -60.9 eV/f.u.
Energy of formation = -0.154 eV per atom
Magnetic moment = 0.000 μB/atom
Symmetry = Imma

The structure in POSCAR format:
```
AcGeBRh6
1.0
6.4935 0.0000 0.0000
0.0000 8.4708 0.0000
-3.2467 -4.2354 5.6391
Ac Ge B Rh
2 2 2 12
direct
0.8242 0.5742 0.6484
0.1758 0.4258 0.3516
0.5000 0.0000 0.5000
0.0000 0.0000 0.5000
0.5000 0.5000 0.0000
0.5000 0.0000 0.0000
0.4802 0.7302 0.9604
0.9115 0.1615 0.8230
0.8495 0.1095 0.2489
0.3993 0.6394 0.2489
0.3993 0.1095 0.2489
0.8495 0.6394 0.2489
0.5198 0.2698 0.0396
0.0885 0.8385 0.1770
0.1505 0.8905 0.7511
0.6007 0.3606 0.7511
0.6007 0.8905 0.7511
0.1505 0.3606 0.7511
```

Computed, not measured: PmThSn2Rh5 after structural relaxation at the PBE level of DFT.

Properties
Total energy = -61.3 eV/f.u.
Energy of formation = -0.484 eV per atom
Magnetic moment = 0.000 μB/atom
Symmetry = P4/mmm

The structure in POSCAR format:
```
PmThSn2Rh5
1.0
4.4332 0.0000 0.0000
0.0000 4.4332 0.0000
0.0000 0.0000 9.1440
Pm Th Sn Rh
1 1 2 5
direct
0.0000 0.0000 0.5000
0.0000 0.0000 0.0000
0.5000 0.5000 0.1519
0.5000 0.5000 0.8481
0.0000 0.5000 0.2877
0.5000 0.0000 0.2877
0.0000 0.5000 0.7123
0.5000 0.0000 0.7123
0.5000 0.5000 0.5000
```

Computed, not measured: CaNd2Au after structural relaxation at the PBE level of DFT.

Properties
Total energy = -15.8 eV/f.u.
Energy of formation = -0.237 eV per atom
Magnetic moment = 0.000 μB/atom
Symmetry = R-3m

The structure in POSCAR format:
```
CaNd2Au
1.0
-2.1763 -1.1659 -3.0570
-1.3450 -3.6886 -0.1612
-9.7647 1.2957 3.9318
Nd Ca Au
2 1 1
direct
0.2686 0.2686 0.1941
0.7314 0.7314 0.8059
0.5000 0.5000 0.5000
0.0000 0.0000 0.0000
```

Computed, not measured: ZnAgRu2 after structural relaxation at the PBE level of DFT.

Properties
Total energy = -20.9 eV/f.u.
Energy of formation = 0.434 eV per atom
Magnetic moment = 0.656 μB/atom
Symmetry = I4/mmm

The structure in POSCAR format:
```
ZnAgRu2
1.0
-0.4869 -1.6564 4.6824
-0.2774 -4.9620 0.4553
3.0541 3.1812 -2.3363
Ag Ru Zn
1 2 1
direct
0.7500 0.2500 0.5000
0.0000 0.0000 0.0000
0.5000 0.5000 0.0000
0.2500 0.7500 0.5000
```

Computed, not measured: BaCoNi2 after structural relaxation at the PBE level of DFT.

Properties
Total energy = -17.3 eV/f.u.
Energy of formation = 0.826 eV per atom
Magnetic moment = 0.500 μB/atom
Symmetry = P4/mmm

The structure in POSCAR format:
```
BaCoNi2
1.0
-1.0284 2.9625 -2.1853
-0.5887 -2.6556 -3.3230
-4.0938 -0.5575 1.1708
Ba Co Ni
1 1 2
direct
0.5000 0.5000 0.0000
0.5000 0.0000 0.5000
0.0000 0.0000 0.0000
0.0000 0.5000 0.5000
```

Computed, not measured: Na8B13C3 after structural relaxation at the PBE level of DFT.

Properties
Total energy = -119.5 eV/f.u.
Energy of formation = 0.230 eV per atom
Magnetic moment = 0.000 μB/atom
Symmetry = P-6m2

The structure in POSCAR format:
```
Na8B13C3
1.0
-2.8218 0.6145 -0.5636
1.4715 -1.8725 -1.7281
-9.7185 -26.1895 20.1036
Na C B
8 3 13
direct
0.0000 0.0000 0.9980
0.0000 0.0000 0.1241
0.0000 0.0000 0.2509
0.0000 0.0000 0.3770
0.0000 0.0000 0.4999
0.0000 0.0000 0.6260
0.0000 0.0000 0.7490
0.0000 0.0000 0.8751
0.6667 0.3333 0.4382
0.6667 0.3333 0.6875
0.6667 0.3333 0.9368
0.3333 0.6667 0.0611
0.6667 0.3333 0.1875
0.3333 0.6667 0.1875
0.6667 0.3333 0.0611
0.3333 0.6667 0.3139
0.3333 0.6667 0.4383
0.6667 0.3333 0.3139
0.3333 0.6667 0.5629
0.3333 0.6667 0.6875
0.6667 0.3333 0.5629
0.3333 0.6667 0.8121
0.3333 0.6667 0.9367
0.6667 0.3333 0.8121
```

Computed, not measured: AcPr5Tl4 after structural relaxation at the PBE level of DFT.

Properties
Total energy = -37.5 eV/f.u.
Energy of formation = 0.000 eV per atom
Magnetic moment = 0.000 μB/atom
Symmetry = Pmmn

The structure in POSCAR format:
```
AcPr5Tl4
1.0
8.9148 0.0000 0.0000
0.0000 7.8341 0.0000
0.0000 0.0000 11.0947
Ac Pr Tl
2 10 8
direct
0.7733 0.0000 0.0000
0.2267 0.5000 0.5000
0.2849 0.7529 0.7990
0.2849 0.2471 0.7990
0.8631 0.5000 0.0000
0.2849 0.7529 0.2010
0.2849 0.2471 0.2010
0.7151 0.7471 0.2990
0.7151 0.2529 0.2990
0.1369 0.0000 0.5000
0.7151 0.2529 0.7010
0.7151 0.7471 0.7010
0.9990 0.0000 0.7649
0.5316 0.6928 0.0000
0.5316 0.3072 0.0000
0.9990 0.0000 0.2351
0.0010 0.5000 0.2649
0.4684 0.8072 0.5000
0.4684 0.1928 0.5000
0.0010 0.5000 0.7351
```

Computed, not measured: V6CrGe after structural relaxation at the PBE level of DFT.

Properties
Total energy = -70.1 eV/f.u.
Energy of formation = -0.138 eV per atom
Magnetic moment = 0.000 μB/atom
Symmetry = Amm2

The structure in POSCAR format:
```
V6CrGe
1.0
-1.1643 -3.1805 2.5086
0.3937 -3.2730 -3.9669
4.5172 0.2961 2.4721
V Cr Ge
6 1 1
direct
0.0000 0.1305 0.3805
0.0000 0.6195 0.8695
0.0000 0.6257 0.3743
0.5000 0.3900 0.1379
0.5000 0.8621 0.6100
0.5000 0.8816 0.1184
0.5000 0.3689 0.6311
0.0000 0.1214 0.8786
```

Computed, not measured: Ho2IrO after structural relaxation at the PBE level of DFT.

Properties
Total energy = -29.5 eV/f.u.
ΔE_f (raw) = -1.624 eV per atom
Magnetic moment = 0.000 μB/atom
Symmetry = R-3m

The structure in POSCAR format:
```
Ho2IrO
1.0
3.5680 0.0000 0.0000
1.7840 3.0900 0.0000
1.7840 1.0300 6.6699
Ir Ho O
1 2 1
direct
0.5000 0.5000 0.5000
0.7399 0.7399 0.7802
0.2601 0.2601 0.2198
0.0000 0.0000 0.0000
```

Computed, not measured: KCo2Br after structural relaxation at the PBE level of DFT.

Properties
Total energy = -13.0 eV/f.u.
ΔE_f (raw) = 1.005 eV per atom
Magnetic moment = 0.861 μB/atom
Symmetry = R-3m

The structure in POSCAR format:
```
KCo2Br
1.0
9.4618 0.0065 0.0039
8.9077 3.1902 0.0039
8.9077 1.5502 2.7883
Br Co K
1 2 1
direct
0.7500 0.7500 0.7500
0.0193 0.0193 0.0193
0.4807 0.4807 0.4807
0.2500 0.2500 0.2500
```

Computed, not measured: AlSbPt2 after structural relaxation at the PBE level of DFT.

Properties
Total energy = -21.9 eV/f.u.
ΔE_f (raw) = -0.490 eV per atom
Magnetic moment = 0.000 μB/atom
Symmetry = Imm2

The structure in POSCAR format:
```
AlSbPt2
1.0
6.9060 0.0220 -0.0075
5.1605 4.5895 0.0075
-6.2250 -1.8040 2.3851
Sb Al Pt
1 1 2
direct
0.5447 0.5447 0.0000
0.7948 0.2948 0.5000
0.9295 0.9295 0.0000
0.2311 0.7311 0.5000
```